## MnCuIO2 (GGA+U)

Data for a geometry-optimized MnCuIO2 structure.

Cell and atoms, written as POSCAR:
```
MnCuIO2
1.0
-2.6452 2.1091 -1.6454
1.5573 -0.6673 -3.3589
-3.9095 -5.4694 -0.7259
O Cu I Mn
2 1 1 1
direct
0.5000 0.0000 0.0000 O
0.0000 0.5000 0.0000 O
0.5000 0.5000 0.5000 Cu
0.0000 0.0000 0.5000 I
0.0000 0.0000 0.0000 Mn
```

spin magnetization = 3.13 μB/f.u.
VASP energy = -25.02 eV/cell
SG = No. 123